The following is a DFT calculation (GGA-PBEsol) of an optimized crystal structure of Tm2V2O7.

POSCAR file:
```
Tm2V2O7
1.0
6.974 0.000 0.000
3.487 6.040 0.000
3.487 2.013 5.694
Tm V O
4 4 14
direct
0.625 0.125 0.125
0.125 0.125 0.125
0.125 0.625 0.125
0.125 0.125 0.625
0.125 0.625 0.625
0.625 0.625 0.625
0.625 0.125 0.625
0.625 0.625 0.125
0.250 0.250 0.250
0.000 0.000 0.000
0.294 0.706 0.706
0.544 0.956 0.956
0.294 0.294 0.706
0.706 0.294 0.706
0.294 0.706 0.294
0.706 0.706 0.294
0.706 0.294 0.294
0.956 0.956 0.544
0.544 0.544 0.956
0.956 0.544 0.956
0.544 0.956 0.544
0.956 0.544 0.544
```

Values from the calculation:
Formation energy (no corrections) (eV/atom): -3.0079
Space group: No. 227
Calculated total energy (eV per atom): -8.991
Theoretical density (g/cm3): 7.64
Crystal system: cubic